Here is a relaxed BaSc2Se crystal from the Alexandria database. Energies are from GGA-PBE.

```
BaSc2Se
1.0
6.500 0.000 0.000
0.000 11.376 0.000
-2.221 0.000 3.100
Ba Sc Se
2 4 2
Cartesian
0.000 0.000 0.000 Ba
3.250 5.688 0.000 Ba
1.625 2.844 0.000 Sc
1.625 8.532 0.000 Sc
4.875 2.844 0.000 Sc
4.875 8.532 0.000 Sc
0.000 5.688 0.000 Se
3.250 0.000 0.000 Se
```

**Spin magnetization**: 0.279 μB per atom
**Formation energy (no corrections)**: -0.26 eV per atom
**N(E_F)**: 10.592 states/eV/cell
**Crystal system**: monoclinic

Here is a relaxed BeReOs2 crystal from the Alexandria database. Energies are from GGA-PBE.

```
BeReOs2
1.0
2.850 0.000 0.000
0.000 4.324 0.000
0.000 0.000 8.446
Be Re Os
2 2 4
Cartesian
0.000 0.000 0.000 Be
1.425 2.162 4.223 Be
0.000 2.162 2.299 Re
1.425 0.000 6.521 Re
0.000 0.000 4.173 Os
0.000 2.162 6.075 Os
1.425 0.000 1.852 Os
1.425 2.162 8.395 Os
```

**Spin magnetization**: 0.000 μB per atom
**N(E_F)**: 6.696 states/eV/cell
**Formation energy from the elements**: 0.051 eV per atom
**Crystal system**: orthorhombic

Here is a relaxed MgZn2Pt2 crystal from the Alexandria database. Energies are from GGA-PBE.

```
MgZn2Pt2
1.0
7.410 0.000 0.000
0.000 7.410 0.000
0.000 0.000 2.927
Mg Zn Pt
2 4 4
Cartesian
0.000 0.000 0.000 Mg
3.705 3.705 0.000 Mg
1.036 2.669 1.463 Zn
2.669 6.374 1.463 Zn
4.741 1.036 1.463 Zn
6.374 4.741 1.463 Zn
1.171 4.876 0.000 Pt
2.534 1.171 0.000 Pt
4.876 6.239 0.000 Pt
6.239 2.534 0.000 Pt
```

**Spin magnetization**: 0.000 μB per atom
**E above lowest polymorph**: 39 meV/atom
**N(E_F)**: 2.838 states/eV/cell
**Formation energy from the elements**: -0.560 eV per atom
**Crystal system**: tetragonal

Here is a relaxed Nb3SiF crystal from the Alexandria database. Energies are from GGA-PBE.

```
Nb3SiF
1.0
4.267 0.000 0.000
0.000 4.267 0.000
0.000 0.000 4.267
Nb Si F
3 1 1
Cartesian
0.000 0.000 2.134 Nb
0.000 2.134 0.000 Nb
2.134 0.000 0.000 Nb
2.134 2.134 2.134 Si
0.000 0.000 0.000 F
```

**Spin magnetization**: 0.000 μB per atom
**E above lowest polymorph**: 0 meV/atom
**Formation energy (no corrections)**: -0.13 eV per atom
**N(E_F)**: 1.186 states/eV/cell
**Crystal system**: cubic

Here is a relaxed Sm2HoPb crystal from the Alexandria database. Energies are from GGA-PBE.

```
Sm2HoPb
1.0
4.882 0.000 0.000
0.000 4.882 0.000
0.000 0.000 4.957
Sm Ho Pb
2 1 1
Cartesian
0.000 2.441 0.000 Sm
2.441 0.000 0.000 Sm
0.000 0.000 2.478 Ho
2.441 2.441 2.478 Pb
```

**Spin magnetization**: 0.000 μB per atom
**E above lowest polymorph**: 0 meV/atom
**N(E_F)**: 4.855 states/eV/cell
**Formation energy from the elements**: -0.302 eV per atom
**Crystal system**: tetragonal

Here is a relaxed FeRe2Pt crystal from the Alexandria database. Energies are from GGA-PBE.

```
FeRe2Pt
1.0
6.163 0.000 0.000
0.000 6.163 0.000
0.000 0.000 6.163
Fe Re Pt
4 8 4
Cartesian
0.000 0.000 0.000 Fe
0.000 3.082 3.082 Fe
3.082 0.000 3.082 Fe
3.082 3.082 0.000 Fe
0.000 0.000 3.082 Re
0.000 3.082 0.000 Re
1.541 1.541 4.623 Re
1.541 4.623 1.541 Re
3.082 0.000 0.000 Re
3.082 3.082 3.082 Re
4.623 1.541 1.541 Re
4.623 4.623 4.623 Re
1.541 1.541 1.541 Pt
1.541 4.623 4.623 Pt
4.623 1.541 4.623 Pt
4.623 4.623 1.541 Pt
```

**Spin magnetization**: 0.472 μB per atom
**E above lowest polymorph**: 262 meV/atom
**N(E_F)**: 16.659 states/eV/cell
**Formation energy from the elements**: 0.240 eV per atom
**Crystal system**: cubic

Here is a relaxed LiY2Pu3S6 crystal from the Alexandria database. Energies are from GGA-PBE.

```
LiY2Pu3S6
1.0
3.403 -5.894 0.000
3.403 5.894 0.000
-2.272 0.000 6.411
Li Y Pu S
1 2 3 6
Cartesian
0.000 0.000 0.000 Li
3.403 1.963 0.000 Y
3.403 -1.963 0.000 Y
2.267 3.925 3.206 Pu
2.267 0.000 3.206 Pu
2.267 -3.925 3.206 Pu
1.120 1.942 1.561 S
-0.029 0.000 4.846 S
1.120 -1.942 1.561 S
3.414 1.942 4.850 S
4.562 0.000 1.565 S
3.414 -1.942 4.850 S
```

**Spin magnetization**: 1.437 μB per atom
**Formation energy (no corrections)**: -1.81 eV per atom
**N(E_F)**: 22.120 states/eV/cell
**Crystal system**: monoclinic

Here is a relaxed BaSrPb2 crystal from the Alexandria database. Energies are from GGA-PBE.

```
BaSrPb2
1.0
4.228 0.000 0.000
0.000 4.228 0.000
0.000 0.000 9.414
Ba Sr Pb
1 1 2
Cartesian
0.000 0.000 0.000 Ba
2.114 2.114 5.932 Sr
0.000 0.000 3.761 Pb
2.114 2.114 2.361 Pb
```

**Spin magnetization**: 0.000 μB per atom
**N(E_F)**: 3.070 states/eV/cell
**Formation energy from the elements**: -0.251 eV per atom
**Crystal system**: tetragonal

Here is a relaxed BaOs2Rh crystal from the Alexandria database. Energies are from GGA-PBE.

```
BaOs2Rh
1.0
4.080 0.000 0.000
0.000 4.080 0.000
0.000 0.000 9.135
Ba Os Rh
2 4 2
Cartesian
0.000 0.000 0.000 Ba
2.040 2.040 4.568 Ba
0.000 2.040 2.284 Os
0.000 2.040 6.852 Os
2.040 0.000 2.284 Os
2.040 0.000 6.852 Os
0.000 0.000 4.568 Rh
2.040 2.040 0.000 Rh
```

**Spin magnetization**: 0.000 μB per atom
**E above lowest polymorph**: 1081 meV/atom
**N(E_F)**: 10.557 states/eV/cell
**Formation energy from the elements**: 1.395 eV per atom
**Crystal system**: tetragonal

Here is a relaxed PmEuCuSb crystal from the Alexandria database. Energies are from GGA-PBE.

```
PmEuCuSb
1.0
7.517 0.000 0.000
0.000 7.517 0.000
0.000 0.000 7.517
Pm Eu Cu Sb
4 4 4 4
Cartesian
0.000 0.000 0.000 Pm
0.000 3.758 3.758 Pm
3.758 0.000 3.758 Pm
3.758 3.758 0.000 Pm
0.000 0.000 3.758 Eu
0.000 3.758 0.000 Eu
3.758 0.000 0.000 Eu
3.758 3.758 3.758 Eu
1.879 1.879 5.638 Cu
1.879 5.638 1.879 Cu
5.638 1.879 1.879 Cu
5.638 5.638 5.638 Cu
1.879 1.879 1.879 Sb
1.879 5.638 5.638 Sb
5.638 1.879 5.638 Sb
5.638 5.638 1.879 Sb
```

**Spin magnetization**: 1.966 μB per atom
**Formation energy (no corrections)**: -0.52 eV per atom
**N(E_F)**: 11.403 states/eV/cell
**Crystal system**: cubic

Here is a relaxed Zn2InCo crystal from the Alexandria database. Energies are from GGA-PBE.

```
Zn2InCo
1.0
2.943 0.000 0.000
0.000 4.512 0.000
-0.076 0.000 4.723
Zn In Co
2 1 1
Cartesian
0.662 0.000 1.325 Zn
2.205 0.000 3.398 Zn
1.471 2.256 0.000 In
-0.038 2.256 2.362 Co
```

**Spin magnetization**: 0.000 μB per atom
**N(E_F)**: 3.400 states/eV/cell
**Formation energy from the elements**: 0.180 eV per atom
**Crystal system**: monoclinic

Here is a relaxed ErGe3Te6 crystal from the Alexandria database. Energies are from GGA-PBE.

```
ErGe3Te6
1.0
12.436 0.000 0.000
0.000 4.110 0.000
-5.066 0.000 12.336
Er Ge Te
2 6 12
Cartesian
-0.482 1.027 2.598 Er
7.852 3.082 9.737 Er
-1.068 1.027 8.637 Ge
3.213 3.082 1.195 Ge
2.947 3.082 7.936 Ge
4.424 1.027 4.400 Ge
4.157 1.027 11.141 Ge
8.438 3.082 3.699 Ge
-1.551 3.082 4.685 Te
-3.769 1.027 12.085 Te
-1.390 3.082 10.375 Te
1.698 3.082 3.435 Te
1.189 1.027 7.107 Te
5.052 1.027 1.750 Te
2.318 3.082 10.586 Te
6.181 3.082 5.229 Te
5.672 1.027 8.901 Te
8.761 1.027 1.961 Te
11.139 3.082 0.250 Te
8.921 1.027 7.651 Te
```

**Spin magnetization**: 0.000 μB per atom
**Formation energy (no corrections)**: -0.34 eV per atom
**N(E_F)**: 3.858 states/eV/cell
**Crystal system**: monoclinic

Here is a relaxed AgTe2NCl crystal from the Alexandria database. Energies are from GGA-PBE.

```
AgTe2NCl
1.0
6.180 0.000 0.000
0.000 6.180 0.000
0.000 0.000 3.268
Ag Te N Cl
1 2 1 1
Cartesian
0.000 0.000 0.000 Ag
0.000 3.090 1.634 Te
3.090 0.000 1.634 Te
3.090 3.090 0.000 N
3.090 3.090 1.634 Cl
```

**Spin magnetization**: 0.000 μB per atom
**E above lowest polymorph**: 148 meV/atom
**Formation energy (no corrections)**: 1.27 eV per atom
**N(E_F)**: 2.444 states/eV/cell
**Crystal system**: tetragonal

Here is a relaxed PaTl2I2Cl4 crystal from the Alexandria database. Energies are from GGA-PBE.

```
PaTl2I2Cl4
1.0
6.799 -3.660 0.000
6.799 3.660 0.000
-1.336 0.000 7.643
Pa Tl I Cl
1 2 2 4
Cartesian
0.000 0.000 0.000 Pa
2.871 0.000 5.959 Tl
9.390 0.000 1.684 Tl
1.634 0.000 2.603 I
10.627 0.000 5.040 I
5.170 1.827 0.969 Cl
7.091 1.827 6.674 Cl
5.170 -1.827 0.969 Cl
7.091 -1.827 6.674 Cl
```

**Spin magnetization**: 0.112 μB per atom
**Formation energy (no corrections)**: -1.31 eV per atom
**N(E_F)**: 0.658 states/eV/cell
**Crystal system**: monoclinic

Here is a relaxed BPd crystal from the Alexandria database. Energies are from GGA-PBE.

```
BPd
1.0
4.667 0.000 0.000
0.000 4.667 0.000
0.000 0.000 4.337
B Pd
4 4
Cartesian
0.684 0.684 0.000 B
1.650 3.017 2.169 B
3.017 1.650 2.169 B
3.983 3.983 0.000 B
1.010 1.010 2.169 Pd
1.323 3.344 0.000 Pd
3.344 1.323 0.000 Pd
3.657 3.657 2.169 Pd
```

**Spin magnetization**: 0.000 μB per atom
**N(E_F)**: 3.604 states/eV/cell
**Formation energy from the elements**: 0.380 eV per atom
**Crystal system**: tetragonal

Here is a relaxed Be2TeRh crystal from the Alexandria database. Energies are from GGA-PBE.

```
Be2TeRh
1.0
6.528 0.000 0.000
0.000 3.769 0.000
-0.007 0.000 5.267
Be Te Rh
4 2 2
Cartesian
0.000 0.000 0.000 Be
1.088 1.884 0.380 Be
3.264 1.884 0.000 Be
4.352 0.000 0.380 Be
1.080 1.884 2.934 Te
4.345 0.000 2.934 Te
2.169 0.000 4.554 Rh
5.433 1.884 4.554 Rh
```

**Spin magnetization**: 0.000 μB per atom
**Formation energy (no corrections)**: -0.14 eV per atom
**N(E_F)**: 2.606 states/eV/cell
**Crystal system**: monoclinic

Here is a relaxed LaTm2ThSb4 crystal from the Alexandria database. Energies are from GGA-PBE.

```
LaTm2ThSb4
1.0
7.659 0.000 0.000
0.000 4.460 0.000
-2.589 0.000 7.286
La Tm Th Sb
1 2 1 4
Cartesian
0.000 0.000 0.000 La
2.535 0.000 3.643 Tm
3.830 2.230 0.000 Tm
-1.294 2.230 3.643 Th
0.072 0.000 5.478 Sb
1.360 2.230 1.880 Sb
3.710 2.230 5.406 Sb
4.999 0.000 1.808 Sb
```

**Spin magnetization**: 0.000 μB per atom
**Formation energy (no corrections)**: -1.09 eV per atom
**N(E_F)**: 1.765 states/eV/cell
**Crystal system**: monoclinic

Here is a relaxed ErPuTe2 crystal from the Alexandria database. Energies are from GGA-PBE.

```
ErPuTe2
1.0
5.350 0.000 0.000
0.000 5.350 0.000
0.000 0.000 3.777
Er Pu Te
1 1 2
Cartesian
0.000 0.000 0.000 Er
2.675 2.675 0.000 Pu
0.000 2.675 1.889 Te
2.675 0.000 1.889 Te
```

**Spin magnetization**: 1.643 μB per atom
**E above lowest polymorph**: 157 meV/atom
**Formation energy (no corrections)**: -1.03 eV per atom
**N(E_F)**: 6.671 states/eV/cell
**Crystal system**: tetragonal

Here is a relaxed CaAlGe2W crystal from the Alexandria database. Energies are from GGA-PBE.

```
CaAlGe2W
1.0
5.171 0.000 0.000
0.000 5.171 0.000
0.000 0.000 4.822
Ca Al Ge W
1 1 2 1
Cartesian
0.000 0.000 0.000 Ca
2.586 2.586 2.411 Al
0.000 2.586 0.000 Ge
2.586 0.000 0.000 Ge
0.000 0.000 2.411 W
```

**Spin magnetization**: 0.000 μB per atom
**N(E_F)**: 5.826 states/eV/cell
**Formation energy from the elements**: 2.054 eV per atom
**Crystal system**: tetragonal

Here is a relaxed Dy4Er15Tm crystal from the Alexandria database. Energies are from GGA-PBE.

```
Dy4Er15Tm
1.0
4.956 0.000 0.000
0.000 4.956 0.000
0.000 0.000 24.770
Dy Er Tm
4 15 1
Cartesian
0.000 0.000 2.484 Dy
0.000 0.000 7.444 Dy
0.000 0.000 17.326 Dy
0.000 0.000 22.286 Dy
0.000 2.478 0.000 Er
0.000 2.478 4.966 Er
0.000 2.478 9.925 Er
0.000 2.478 14.845 Er
0.000 2.478 19.804 Er
2.478 0.000 0.000 Er
2.478 0.000 4.966 Er
2.478 0.000 9.925 Er
2.478 0.000 14.845 Er
2.478 0.000 19.804 Er
2.478 2.478 2.482 Er
2.478 2.478 7.449 Er
2.478 2.478 12.385 Er
2.478 2.478 17.321 Er
2.478 2.478 22.288 Er
0.000 0.000 12.385 Tm
```

**Spin magnetization**: 0.000 μB per atom
**N(E_F)**: 25.800 states/eV/cell
**Formation energy from the elements**: 0.022 eV per atom
**Crystal system**: tetragonal